No. 1
The following is a DFT calculation (PBE) of a relaxed CaGe2BiRh crystal.

POSCAR file:
```
CaGe2BiRh
1.0
5.316 0.000 0.000
0.000 4.817 0.000
0.000 0.000 5.316
Ge Ca Rh Bi
2 1 1 1
direct
0.000 0.000 0.500
0.500 0.000 0.000
0.000 0.000 0.000
0.000 0.500 0.000
0.500 0.500 0.500
```

Output
As for the total energy: -3.55 eV per atom. The value obtained for the distance to the lowest polymorph of the same formula is 1088 meV/atom. The energy of formation from the pure elements comes out at 945.0 meV per atom. Its space group is P4/mmm.


No. 2
The following is a DFT calculation (PBE) of a relaxed Sb2TeAu crystal.

POSCAR file:
```
Sb2TeAu
1.0
-2.347 -0.319 -2.208
-1.360 -0.723 2.848
-2.592 10.015 1.306
Au Sb Te
1 2 1
direct
0.500 0.500 0.750
0.000 0.000 0.953
0.000 0.000 0.547
0.500 0.500 0.250
```

Output
As for the total energy: -3.51 eV per atom. Its uncorrected formation energy is 0.15 eV/atom. Its space group is Cmmm.


What are the DOS at the Fermi energy values for these records? In order: 2.40 2.21 states/eV/cell.